No. 1
Below is a relaxed structure of K2Sn2Ge, with properties calculated at the PBE level.

Structure (POSCAR):
```
K2Sn2Ge
1.0
7.535 0.000 0.000
0.000 7.535 0.000
0.000 0.000 5.890
Sn K Ge
4 4 2
Cartesian
1.044 2.724 0.000
4.811 1.044 0.000
6.491 4.811 0.000
2.724 6.491 0.000
5.091 6.211 2.945
6.211 2.443 2.945
2.443 1.324 2.945
1.324 5.091 2.945
0.000 0.000 0.000
3.767 3.767 0.000
```

Results
- Total energy: -3.04 eV/atom
- Formation enthalpy at 0 K: -80 meV/atom
- Symmetry: P4/mbm, No. 127
- Magnetic moment: 0.00 μB per cell

No. 2
Below is a relaxed structure of Tm4Sc2N, with properties calculated at the PBE level.

Structure (POSCAR):
```
Tm4Sc2N
1.0
4.629 0.000 0.000
0.000 4.629 0.000
2.315 2.315 8.463
Tm Sc N
4 2 1
Cartesian
2.315 2.315 6.121
4.629 4.629 2.343
0.000 2.315 0.000
2.315 0.000 0.000
2.315 2.315 2.762
4.629 4.629 5.701
0.000 0.000 0.000
```

Results
- Total energy: -5.80 eV/atom
- Raw formation energy: -0.24 eV/atom
- Symmetry: I4/mmm, No. 139
- Magnetic moment: 0.00 μB per cell

No. 3
Below is a relaxed structure of Pr2Nd2Ag3, with properties calculated at the PBE level.

Structure (POSCAR):
```
Pr2Nd2Ag3
1.0
5.075 -0.009 -1.403
-2.741 4.522 0.002
-0.178 -0.097 9.074
Ag Nd Pr
3 2 2
Cartesian
1.730 1.059 6.144
0.000 0.000 0.000
0.426 3.357 1.529
2.771 1.685 0.142
-0.616 2.730 7.531
0.871 0.533 3.101
1.285 3.883 4.572
```

Results
- Total energy: -4.05 eV/atom
- Formation enthalpy at 0 K: -105 meV/atom
- Symmetry: P-1, No. 2
- Magnetic moment: 1.19 μB per cell

No. 4
Below is a relaxed structure of Sr2Tc2As, with properties calculated at the PBE level.

Structure (POSCAR):
```
Sr2Tc2As
1.0
3.563 0.000 0.000
0.000 3.563 0.000
1.782 1.782 9.751
Tc Sr As
2 2 1
Cartesian
1.782 3.563 4.875
3.563 1.782 4.875
3.563 3.563 7.758
1.782 1.782 1.993
0.000 0.000 0.000
```

Results
- Total energy: -5.74 eV/atom
- Formation enthalpy at 0 K: 7 meV/atom
- Symmetry: I4/mmm, No. 139
- Magnetic moment: 0.00 μB per cell
- Energy above the most stable polymorph in this dataset: 0 meV per atom

No. 5
Below is a relaxed structure of MnAl4Ga, with properties calculated at the PBE level.

Structure (POSCAR):
```
MnAl4Ga
1.0
4.997 0.000 -0.453
0.000 6.391 0.000
-1.962 -3.195 6.276
Al Ga Mn
8 2 2
Cartesian
-1.962 1.932 6.276
4.997 1.263 -0.453
0.387 -1.624 4.440
0.191 3.195 2.099
2.648 4.820 1.382
0.387 1.624 4.440
2.844 0.000 3.723
2.648 1.571 1.382
2.833 3.195 3.492
0.202 0.000 2.331
1.605 0.000 5.951
1.429 3.195 -0.128
```

Results
- Total energy: -4.58 eV/atom
- Formation enthalpy at 0 K: -56 meV/atom
- Symmetry: C2/m, No. 12
- Magnetic moment: 0.00 μB per cell
- Energy above the most stable polymorph in this dataset: 0 meV per atom

No. 6
Below is a relaxed structure of Al2Mo, with properties calculated at the PBE level.

Structure (POSCAR):
```
Al2Mo
1.0
3.580 2.931 1.677
-4.680 0.293 1.494
0.877 -2.977 3.331
Al Mo
4 2
Cartesian
-1.497 -0.146 1.819
1.274 0.393 4.683
-1.453 -0.478 4.622
1.230 0.725 1.880
-0.684 1.904 3.437
0.461 -1.657 3.065
```

Results
- Total energy: -6.29 eV/atom
- Formation enthalpy at 0 K: -182 meV/atom
- Symmetry: Cmcm, No. 63
- Magnetic moment: 0.00 μB per cell

No. 7
Below is a relaxed structure of Pu2SiHPt6, with properties calculated at the PBE level.

Structure (POSCAR):
```
Pu2SiHPt6
1.0
-4.564 5.050 0.663
-3.494 -2.690 -3.570
-6.551 -0.098 1.978
Pt Si Pu H
6 1 2 1
Cartesian
-6.292 1.909 -2.019
-5.549 0.695 0.399
-4.564 3.239 -0.253
-8.318 0.354 1.089
-9.060 1.567 -1.329
-10.046 -0.977 -0.677
-4.029 1.180 -1.454
-6.536 -1.070 -1.813
-8.073 3.332 0.884
0.000 0.000 0.000
```

Results
- Total energy: -8.04 eV/atom
- Symmetry: C2/m, No. 12
- Magnetic moment: 10.21 μB per cell

No. 8
Below is a relaxed structure of BeTcIr, with properties calculated at the PBE level.

Structure (POSCAR):
```
BeTcIr
1.0
-0.237 -2.579 0.996
6.072 -1.428 1.620
0.578 0.263 4.683
Tc Be Ir
2 2 2
Cartesian
2.857 -1.441 5.596
0.197 -0.268 0.274
4.762 -2.791 6.419
5.663 -2.186 4.339
1.459 -2.141 3.453
3.955 -1.012 3.100
```

Results
- Total energy: -7.84 eV/atom
- Formation enthalpy at 0 K: -190 meV/atom
- Symmetry: Cm, No. 8
- Magnetic moment: 0.00 μB per cell
- Energy above the most stable polymorph in this dataset: 177 meV per atom

No. 9
Below is a relaxed structure of Y2AsH, with properties calculated at the PBE level.

Structure (POSCAR):
```
Y2AsH
1.0
-1.971 0.450 4.374
-4.388 1.932 0.478
-3.731 -2.777 1.259
Y H As
2 1 1
Cartesian
-7.567 -0.296 4.583
-2.522 -0.099 1.528
0.000 0.000 0.000
-5.045 -0.197 3.056
```

Results
- Total energy: -5.82 eV/atom
- Symmetry: Fm-3m, No. 225
- Magnetic moment: 1.21 μB per cell
- Energy above the most stable polymorph in this dataset: 367 meV per atom

No. 10
Below is a relaxed structure of Y2ZnHAu, with properties calculated at the PBE level.

Structure (POSCAR):
```
Y2ZnHAu
1.0
4.891 0.000 0.000
0.000 4.891 0.000
0.000 0.000 3.902
H Au Y Zn
1 1 2 1
Cartesian
0.000 0.000 0.000
2.446 2.446 1.951
2.446 0.000 0.000
0.000 2.446 0.000
0.000 0.000 1.951
```

Results
- Total energy: -4.66 eV/atom
- Symmetry: P4/mmm, No. 123
- Magnetic moment: 0.51 μB per cell
- Energy above the most stable polymorph in this dataset: 0 meV per atom